# 1
Compound: TiTlSb2
Source: the Alexandria database
Functional: PBE
Structure: relaxed

Geometry as POSCAR:
```
TiTlSb2
1.0
0.000 3.679 3.679
3.679 0.000 3.679
3.679 3.679 0.000
Ti Tl Sb
1 1 2
direct
0.000 0.000 0.000 Ti
0.500 0.500 0.500 Tl
0.250 0.250 0.250 Sb
0.750 0.750 0.750 Sb
```

## Properties
space-group type: No. 225
uncorrected formation energy: 0.86 eV per formula unit
magnetization: 0.0 Bohr magnetons per cell
N(E_F): 3.6 states/eV/cell

---

# 2
Compound: MnAg2Sb
Source: the Alexandria database
Functional: PBE
Structure: relaxed

Geometry as POSCAR:
```
MnAg2Sb
1.0
3.511 0.000 0.000
0.000 3.511 0.000
0.000 0.000 6.241
Mn Ag Sb
1 2 1
direct
0.000 0.000 0.000 Mn
0.000 0.000 0.526 Ag
0.500 0.500 0.752 Ag
0.500 0.500 0.216 Sb
```

## Properties
space-group type: No. 99
uncorrected formation energy: 0.78 eV per formula unit
magnetization: 3.5 Bohr magnetons per cell
N(E_F): 2.3 states/eV/cell

---

# 3
Compound: GaCu2SbAu4
Source: the Alexandria database
Functional: PBE
Structure: relaxed

Geometry as POSCAR:
```
GaCu2SbAu4
1.0
2.229 1.287 8.256
-2.229 1.287 8.256
0.000 -2.573 8.256
Ga Cu Sb Au
1 2 1 4
direct
0.000 0.000 0.000 Ga
0.258 0.258 0.258 Cu
0.742 0.742 0.742 Cu
0.500 0.500 0.500 Sb
0.111 0.111 0.111 Au
0.371 0.371 0.371 Au
0.629 0.629 0.629 Au
0.889 0.889 0.889 Au
```

## Properties
space-group type: No. 166
uncorrected formation energy: -0.08 eV per formula unit
magnetization: 0.0 Bohr magnetons per cell
N(E_F): 2.1 states/eV/cell

---

# 4
Compound: LiCaCu2Re
Source: the Alexandria database
Functional: PBE
Structure: relaxed

Geometry as POSCAR:
```
LiCaCu2Re
1.0
4.795 0.000 0.000
0.000 4.795 0.000
0.000 0.000 5.234
Li Ca Cu Re
1 1 2 1
direct
0.000 0.000 0.000 Li
0.500 0.500 0.000 Ca
0.000 0.500 0.500 Cu
0.500 0.000 0.500 Cu
0.500 0.500 0.500 Re
```

## Properties
ΔH_f (0 K): 1.007 eV per atom
space-group type: No. 123
magnetization: 0.0 Bohr magnetons per cell
N(E_F): 6.0 states/eV/cell

---

# 5
Compound: Li2TaPb
Source: the Alexandria database
Functional: PBE
Structure: relaxed

Geometry as POSCAR:
```
Li2TaPb
1.0
2.931 0.000 0.000
0.000 2.931 0.000
0.000 0.000 9.123
Li Ta Pb
2 1 1
direct
0.000 0.000 0.249 Li
0.000 0.000 0.751 Li
0.500 0.500 0.000 Ta
0.500 0.500 0.500 Pb
```

## Properties
ΔH_f (0 K): 0.339 eV per atom
space-group type: No. 123
magnetization: 0.0 Bohr magnetons per cell
N(E_F): 3.1 states/eV/cell

---

# 6
Compound: Ce5TmOs3
Source: the Alexandria database
Functional: PBE
Structure: relaxed

Geometry as POSCAR:
```
Ce5TmOs3
1.0
6.226 -4.558 0.000
6.226 4.558 0.000
-4.037 0.000 9.348
Ce Tm Os
10 2 6
direct
0.072 0.072 0.372 Ce
0.142 0.534 0.334 Ce
0.201 0.799 0.000 Ce
0.268 0.268 0.964 Ce
0.466 0.858 0.666 Ce
0.534 0.142 0.334 Ce
0.732 0.732 0.036 Ce
0.799 0.201 0.000 Ce
0.858 0.466 0.666 Ce
0.928 0.928 0.628 Ce
0.395 0.395 0.699 Tm
0.605 0.605 0.301 Tm
0.159 0.159 0.668 Os
0.168 0.168 0.166 Os
0.500 0.500 0.000 Os
0.500 0.500 0.500 Os
0.832 0.832 0.834 Os
0.841 0.841 0.332 Os
```

## Properties
ΔH_f (0 K): -0.082 eV per atom
space-group type: No. 12
magnetization: 5.5 Bohr magnetons per cell
N(E_F): 47.3 states/eV/cell

---

# 7
Compound: BaCaTc2
Source: the Alexandria database
Functional: PBE
Structure: relaxed

Geometry as POSCAR:
```
BaCaTc2
1.0
3.964 0.000 0.000
0.000 3.964 0.000
0.000 0.000 7.025
Ba Ca Tc
1 1 2
direct
0.000 0.000 0.000 Ba
0.000 0.000 0.500 Ca
0.500 0.500 0.344 Tc
0.500 0.500 0.656 Tc
```

## Properties
ΔH_f (0 K): 0.802 eV per atom
space-group type: No. 123
magnetization: 0.0 Bohr magnetons per cell
N(E_F): 4.0 states/eV/cell

---

# 8
Compound: KBaCo2
Source: the Alexandria database
Functional: PBE
Structure: relaxed

Geometry as POSCAR:
```
KBaCo2
1.0
3.405 0.000 0.000
0.000 3.405 0.000
0.000 0.000 9.672
K Ba Co
1 1 2
direct
0.000 0.000 0.000 K
0.500 0.500 0.430 Ba
0.000 0.000 0.682 Co
0.500 0.500 0.724 Co
```

## Properties
ΔH_f (0 K): 0.576 eV per atom
space-group type: No. 99
magnetization: 3.1 Bohr magnetons per cell
N(E_F): 4.0 states/eV/cell

---

# 9
Compound: Dy2TmGa2Cu2
Source: the Alexandria database
Functional: PBE
Structure: relaxed

Geometry as POSCAR:
```
Dy2TmGa2Cu2
1.0
2.175 1.256 9.128
-2.175 1.256 9.128
0.000 -2.511 9.128
Dy Tm Ga Cu
2 1 2 2
direct
0.123 0.123 0.123 Dy
0.877 0.877 0.877 Dy
0.000 0.000 0.000 Tm
0.266 0.266 0.266 Ga
0.734 0.734 0.734 Ga
0.395 0.395 0.395 Cu
0.605 0.605 0.605 Cu
```

## Properties
ΔH_f (0 K): -0.398 eV per atom
space-group type: No. 166
magnetization: 0.0 Bohr magnetons per cell
N(E_F): 4.4 states/eV/cell

---

# 10
Compound: CrCdIn2
Source: the Alexandria database
Functional: PBE
Structure: relaxed

Geometry as POSCAR:
```
CrCdIn2
1.0
6.755 -1.526 0.000
6.755 1.526 0.000
-1.618 0.000 4.429
Cr Cd In
1 1 2
direct
0.000 0.000 0.000 Cr
0.306 0.306 0.804 Cd
0.491 0.491 0.491 In
0.692 0.692 0.192 In
```

## Properties
ΔH_f (0 K): 0.228 eV per atom
space-group type: No. 8
magnetization: 3.4 Bohr magnetons per cell
N(E_F): 1.7 states/eV/cell

---

# 11
Compound: Ca5Ag4Pt
Source: the Alexandria database
Functional: PBE
Structure: relaxed

Geometry as POSCAR:
```
Ca5Ag4Pt
1.0
3.662 0.000 0.000
0.000 3.662 0.000
0.000 0.000 18.392
Ca Ag Pt
5 4 1
direct
0.000 0.000 0.000 Ca
0.000 0.000 0.204 Ca
0.000 0.000 0.411 Ca
0.000 0.000 0.589 Ca
0.000 0.000 0.796 Ca
0.500 0.500 0.102 Ag
0.500 0.500 0.307 Ag
0.500 0.500 0.693 Ag
0.500 0.500 0.898 Ag
0.500 0.500 0.500 Pt
```

## Properties
ΔH_f (0 K): -0.435 eV per atom
space-group type: No. 123
magnetization: 0.0 Bohr magnetons per cell
N(E_F): 7.2 states/eV/cell

---

# 12
Compound: TbCeDyZr
Source: the Alexandria database
Functional: PBE
Structure: relaxed

Geometry as POSCAR:
```
TbCeDyZr
1.0
0.000 3.863 3.863
3.863 0.000 3.863
3.863 3.863 0.000
Tb Ce Dy Zr
1 1 1 1
direct
0.000 0.000 0.000 Tb
0.500 0.500 0.500 Ce
0.250 0.250 0.250 Dy
0.750 0.750 0.750 Zr
```

## Properties
ΔH_f (0 K): 0.230 eV per atom
space-group type: No. 216
magnetization: 1.6 Bohr magnetons per cell
N(E_F): 10.3 states/eV/cell

---

# 13
Compound: CaCr2PbS
Source: the Alexandria database
Functional: PBE
Structure: relaxed

Geometry as POSCAR:
```
CaCr2PbS
1.0
4.667 0.000 0.000
0.000 4.667 0.000
0.000 0.000 5.783
Ca Cr Pb S
1 2 1 1
direct
0.000 0.000 0.000 Ca
0.000 0.500 0.500 Cr
0.500 0.000 0.500 Cr
0.500 0.500 0.000 Pb
0.500 0.500 0.500 S
```

## Properties
space-group type: No. 123
uncorrected formation energy: 1.03 eV per formula unit
magnetization: 7.8 Bohr magnetons per cell
N(E_F): 3.2 states/eV/cell

---

# 14
Compound: Ho12Tl5Ir2
Source: the Alexandria database
Functional: PBE
Structure: relaxed

Geometry as POSCAR:
```
Ho12Tl5Ir2
1.0
8.445 -3.812 0.000
8.445 3.812 0.000
-2.550 0.000 9.295
Ho Tl Ir
12 5 2
direct
0.003 0.003 0.241 Ho
0.076 0.597 0.908 Ho
0.101 0.600 0.428 Ho
0.400 0.899 0.572 Ho
0.403 0.924 0.092 Ho
0.488 0.488 0.172 Ho
0.512 0.512 0.828 Ho
0.597 0.076 0.908 Ho
0.600 0.101 0.428 Ho
0.899 0.400 0.572 Ho
0.924 0.403 0.092 Ho
0.997 0.997 0.759 Ho
0.190 0.190 0.838 Tl
0.200 0.200 0.363 Tl
0.500 0.500 0.500 Tl
0.800 0.800 0.637 Tl
0.810 0.810 0.162 Tl
0.212 0.788 0.000 Ir
0.788 0.212 0.000 Ir
```

## Properties
ΔH_f (0 K): -0.239 eV per atom
space-group type: No. 12
magnetization: 0.0 Bohr magnetons per cell
N(E_F): 16.1 states/eV/cell

---

# 15
Compound: K5ICl4
Source: the Alexandria database
Functional: PBE
Structure: relaxed

Geometry as POSCAR:
```
K5ICl4
1.0
7.675 -2.307 0.000
7.675 2.307 0.000
-5.596 0.000 9.915
K I Cl
5 1 4
direct
0.000 0.000 0.000 K
0.206 0.206 0.816 K
0.390 0.390 0.613 K
0.610 0.610 0.387 K
0.794 0.794 0.184 K
0.000 0.000 0.500 I
0.201 0.201 0.292 Cl
0.402 0.402 0.098 Cl
0.598 0.598 0.902 Cl
0.799 0.799 0.708 Cl
```

## Properties
space-group type: No. 12
uncorrected formation energy: -18.48 eV per formula unit
magnetization: 0.0 Bohr magnetons per cell
N(E_F): 0.0 states/eV/cell

---

# 16
Compound: Sr5CdIn4
Source: the Alexandria database
Functional: PBE
Structure: relaxed

Geometry as POSCAR:
```
Sr5CdIn4
1.0
4.105 0.000 0.000
0.000 4.105 0.000
0.000 0.000 20.037
Sr Cd In
5 1 4
direct
0.000 0.000 0.000 Sr
0.000 0.000 0.200 Sr
0.000 0.000 0.399 Sr
0.000 0.000 0.601 Sr
0.000 0.000 0.800 Sr
0.500 0.500 0.500 Cd
0.500 0.500 0.101 In
0.500 0.500 0.298 In
0.500 0.500 0.702 In
0.500 0.500 0.899 In
```

## Properties
ΔH_f (0 K): -0.413 eV per atom
space-group type: No. 123
magnetization: 0.0 Bohr magnetons per cell
N(E_F): 7.5 states/eV/cell

---

# 17
Compound: Na2PrCd
Source: the Alexandria database
Functional: PBE
Structure: relaxed

Geometry as POSCAR:
```
Na2PrCd
1.0
1.727 0.997 12.258
-1.727 0.997 12.258
0.000 -1.994 12.258
Na Pr Cd
2 1 1
direct
0.094 0.094 0.094 Na
0.906 0.906 0.906 Na
0.000 0.000 0.000 Pr
0.500 0.500 0.500 Cd
```

## Properties
ΔH_f (0 K): 0.137 eV per atom
space-group type: No. 166
magnetization: 0.0 Bohr magnetons per cell
N(E_F): 3.8 states/eV/cell

---

# 18
Compound: CeTi2In
Source: the Alexandria database
Functional: PBE
Structure: relaxed

Geometry as POSCAR:
```
CeTi2In
1.0
3.460 0.000 0.000
0.000 3.460 0.000
0.000 0.000 6.759
Ce Ti In
1 2 1
direct
0.000 0.000 0.000 Ce
0.500 0.500 0.243 Ti
0.500 0.500 0.757 Ti
0.000 0.000 0.500 In
```

## Properties
ΔH_f (0 K): 0.066 eV per atom
space-group type: No. 123
magnetization: 0.0 Bohr magnetons per cell
N(E_F): 6.7 states/eV/cell

---

# 19
Compound: LaHO2F
Source: the Alexandria database
Functional: PBE
Structure: relaxed

Geometry as POSCAR:
```
LaHO2F
1.0
4.610 0.000 0.000
0.000 4.610 0.000
0.000 0.000 4.691
La H O F
1 1 2 1
direct
0.000 0.000 0.000 La
0.500 0.500 0.500 H
0.000 0.500 0.000 O
0.500 0.000 0.000 O
0.000 0.000 0.500 F
```

## Properties
space-group type: No. 123
magnetization: 1.0 Bohr magnetons per cell
N(E_F): 4.3 states/eV/cell

---

# 20
Compound: Cu2TcHAu
Source: the Alexandria database
Functional: PBE
Structure: relaxed

Geometry as POSCAR:
```
Cu2TcHAu
1.0
4.007 0.000 0.000
0.000 4.007 0.000
0.000 0.000 3.717
Cu Tc H Au
2 1 1 1
direct
0.000 0.500 0.000 Cu
0.500 0.000 0.000 Cu
0.000 0.000 0.500 Tc
0.000 0.000 0.000 H
0.500 0.500 0.500 Au
```

## Properties
space-group type: No. 123
magnetization: 0.5 Bohr magnetons per cell
N(E_F): 4.9 states/eV/cell

---

# 21
Compound: LaTc4Ru
Source: the Alexandria database
Functional: PBE
Structure: relaxed

Geometry as POSCAR:
```
LaTc4Ru
1.0
0.000 3.747 3.747
3.747 0.000 3.747
3.747 3.747 0.000
La Tc Ru
1 4 1
direct
0.000 0.000 0.000 La
0.376 0.376 0.376 Tc
0.376 0.376 0.873 Tc
0.376 0.873 0.376 Tc
0.873 0.376 0.376 Tc
0.750 0.750 0.750 Ru
```

## Properties
ΔH_f (0 K): 0.426 eV per atom
space-group type: No. 216
magnetization: 0.0 Bohr magnetons per cell
N(E_F): 11.6 states/eV/cell

---

# 22
Compound: RbBa
Source: the Alexandria database
Functional: PBE
Structure: relaxed

Geometry as POSCAR:
```
RbBa
1.0
4.627 0.000 0.000
2.312 4.025 0.000
2.244 1.276 16.005
Rb Ba
2 2
direct
0.212 0.208 0.364 Rb
0.788 0.792 0.636 Rb
0.372 0.366 0.887 Ba
0.628 0.634 0.113 Ba
```

## Properties
ΔH_f (0 K): 0.066 eV per atom
space-group type: No. 2
magnetization: 0.0 Bohr magnetons per cell
N(E_F): 5.3 states/eV/cell

---

# 23
Compound: KCuSi
Source: the Alexandria database
Functional: PBE
Structure: relaxed

Geometry as POSCAR:
```
KCuSi
1.0
0.000 3.314 3.314
3.314 0.000 3.314
3.314 3.314 0.000
K Cu Si
1 1 1
direct
0.000 0.000 0.000 K
0.750 0.750 0.750 Cu
0.500 0.500 0.500 Si
```

## Properties
space-group type: No. 216
uncorrected formation energy: 2.29 eV per formula unit
magnetization: 0.0 Bohr magnetons per cell
N(E_F): 3.3 states/eV/cell

---

# 24
Compound: SiINO2
Source: the Alexandria database
Functional: PBE
Structure: relaxed

Geometry as POSCAR:
```
SiINO2
1.0
3.337 0.000 0.000
0.000 3.337 0.000
0.000 0.000 6.645
Si I N O
1 1 1 2
direct
0.000 0.000 0.000 Si
0.000 0.000 0.500 I
0.500 0.500 0.500 N
0.000 0.500 0.000 O
0.500 0.000 0.000 O
```

## Properties
space-group type: No. 123
uncorrected formation energy: -1.51 eV per formula unit
magnetization: 0.0 Bohr magnetons per cell
N(E_F): 2.5 states/eV/cell

---

# 25
Compound: NaZn2GaBr6
Source: the Alexandria database
Functional: PBE
Structure: relaxed

Geometry as POSCAR:
```
NaZn2GaBr6
1.0
6.953 -6.638 0.000
6.953 6.638 0.000
-1.325 0.000 7.027
Na Zn Ga Br
2 4 2 12
direct
0.218 0.782 0.750 Na
0.782 0.218 0.250 Na
0.115 0.286 0.780 Zn
0.286 0.115 0.280 Zn
0.714 0.885 0.720 Zn
0.885 0.714 0.220 Zn
0.398 0.602 0.250 Ga
0.602 0.398 0.750 Ga
0.074 0.208 0.089 Br
0.107 0.640 0.376 Br
0.208 0.074 0.589 Br
0.283 0.472 0.839 Br
0.360 0.893 0.124 Br
0.472 0.283 0.339 Br
0.528 0.717 0.661 Br
0.640 0.107 0.876 Br
0.717 0.528 0.161 Br
0.792 0.926 0.411 Br
0.893 0.360 0.624 Br
0.926 0.792 0.911 Br
```

## Properties
space-group type: No. 15
uncorrected formation energy: -9.32 eV per formula unit
magnetization: 0.0 Bohr magnetons per cell
N(E_F): 0.0 states/eV/cell

---

# 26
Compound: FeAu2
Source: the Alexandria database
Functional: PBE
Structure: relaxed

Geometry as POSCAR:
```
FeAu2
1.0
6.141 0.000 0.000
0.000 6.141 0.000
0.000 0.000 6.141
Fe Au
4 8
direct
0.000 0.000 0.000 Fe
0.000 0.500 0.500 Fe
0.500 0.000 0.500 Fe
0.500 0.500 0.000 Fe
0.133 0.633 0.867 Au
0.133 0.867 0.367 Au
0.367 0.133 0.867 Au
0.367 0.367 0.367 Au
0.633 0.633 0.633 Au
0.633 0.867 0.133 Au
0.867 0.133 0.633 Au
0.867 0.367 0.133 Au
```

## Properties
ΔH_f (0 K): 0.557 eV per atom
space-group type: No. 205
magnetization: 13.1 Bohr magnetons per cell
N(E_F): 11.8 states/eV/cell

---

Number 1: total energy -0.162 hartree per atom. Number 2: total energy -0.167 hartree per atom. Number 3: total energy -0.131 hartree per atom. Number 4: total energy -0.143 hartree per atom. Number 5: total energy -0.166 hartree per atom. Number 6: total energy -0.280 hartree per atom. Number 7: total energy -0.197 hartree per atom. Number 8: total energy -0.137 hartree per atom. Number 9: total energy -0.161 hartree per atom. Number 10: total energy -0.139 hartree per atom. Number 11: total energy -0.117 hartree per atom. Number 12: total energy -0.209 hartree per atom. Number 13: total energy -0.206 hartree per atom. Number 14: total energy -0.172 hartree per atom. Number 15: total energy -0.121 hartree per atom. Number 16: total energy -0.090 hartree per atom. Number 17: total energy -0.072 hartree per atom. Number 18: total energy -0.222 hartree per atom. Number 19: total energy -0.192 hartree per atom. Number 20: total energy -0.176 hartree per atom. Number 21: total energy -0.325 hartree per atom. Number 22: total energy -0.051 hartree per atom. Number 23: total energy -0.102 hartree per atom. Number 24: total energy -0.196 hartree per atom. Number 25: total energy -0.096 hartree per atom. Number 26: total energy -0.163 hartree per atom.